Material: TaTi3Tc
Method: DFT, GGA-PBE
State: optimized geometry

As for the total magnetic moment: 0.00 μB/atom. Its excess energy over the best structure of this formula in the dataset is 0.00 kJ per mole of atoms. The formation energy comes out at -0.213 eV/atom. The volume comes out at 332 Å³/cell. The density of states at the Fermi level is 1.167 states/eV/atom.

Geometry as CIF:
```
data_TaTi3Tc
_chemical_formula_sum 'Ta4 Ti12 Tc4'
_cell_length_a 10.373
_cell_length_b 3.125
_cell_length_c 10.230
_cell_angle_alpha 90.00
_cell_angle_beta 90.83
_cell_angle_gamma 90.00
_space_group_name_H-M_alt 'C 1 2/m 1'
_space_group_IT_number 12
_space_group_name_Hall '-C 2y'
loop_
_atom_site_label
_atom_site_fract_x
_atom_site_fract_y
_atom_site_fract_z
Ta1 0.243 0.000 0.248
Ti1 0.041 0.000 0.677
Ti2 0.139 0.000 0.957
Ti3 0.140 0.500 0.464
Tc1 0.054 0.500 0.146
```

***

Material: Ce3ZnNi2Ge6
Method: DFT, GGA-PBE
State: optimized geometry

As for the total magnetic moment: 0.17 μB/atom. The formation energy comes out at -0.246 eV/atom. The volume comes out at 248 Å³/cell. The density of states at the Fermi level is 1.275 states/eV/atom.

Geometry as CIF:
```
data_Ce3ZnNi2Ge6
_chemical_formula_sum 'Ce3 Zn1 Ni2 Ge6'
_cell_length_a 5.9116
_cell_length_b 5.9116
_cell_length_c 8.2019
_cell_angle_alpha 90.00
_cell_angle_beta 90.00
_cell_angle_gamma 120.00
_space_group_name_H-M_alt 'P -3 m 1'
_space_group_IT_number 164
_space_group_name_Hall '-P 3 2"'
loop_
_atom_site_label
_atom_site_fract_x
_atom_site_fract_y
_atom_site_fract_z
Ce1 0.0000 0.0000 0.0000
Ce2 0.3333 0.6667 0.6223
Zn1 0.0000 0.0000 0.5000
Ni1 0.3333 0.6667 0.0428
Ge1 0.1860 0.3719 0.2778
```